[1]
A plane-wave DFT calculation with PBE was carried out for an optimized crystal structure of AcHo2NbO8.

- symmetry = Cmmm

a = 5.0718 Å, b = 5.0718 Å, c = 7.2131 Å
α = 90.00°, β = 90.00°, γ = 90.38°
Atoms (fractional coordinates):
Ac 0.0000 0.0000 0.0000
Ho 0.5000 0.5000 0.2651
Ho 0.5000 0.5000 0.7349
Nb 0.0000 0.0000 0.5000
O 0.1893 0.8107 0.2944
O 0.1893 0.8107 0.7056
O 0.2857 0.2857 0.5000
O 0.3289 0.3289 0.0000
O 0.6711 0.6711 0.0000
O 0.7143 0.7143 0.5000
O 0.8107 0.1893 0.2944
O 0.8107 0.1893 0.7056

***

[2]
A plane-wave DFT calculation with PBE was carried out for an optimized crystal structure of AcNd5Ho6.

- symmetry = C2/m
- formation energy (kJ/mol of atoms) = 2.1

a = 6.3066 Å, b = 6.3066 Å, c = 11.8848 Å
α = 95.07°, β = 95.07°, γ = 120.00°
Atoms (fractional coordinates):
Ac 0.0000 0.0000 0.0000
Nd 0.1670 0.8330 0.5000
Nd 0.3332 0.6668 0.0000
Nd 0.5000 0.5000 0.5000
Nd 0.6668 0.3332 0.0000
Nd 0.8330 0.1670 0.5000
Ho 0.0842 0.4199 0.2527
Ho 0.2515 0.2515 0.7472
Ho 0.4199 0.0842 0.2527
Ho 0.5801 0.9158 0.7473
Ho 0.7485 0.7485 0.2528
Ho 0.9158 0.5801 0.7473

***

[3]
A plane-wave DFT calculation with PBE was carried out for an optimized crystal structure of Ac12Nd6Ho.

- symmetry = R-3
- formation energy (kJ/mol of atoms) = 3.8

a = 10.2447 Å, b = 10.2447 Å, c = 10.2447 Å
α = 110.85°, β = 110.85°, γ = 110.85°
Atoms (fractional coordinates):
Ac 0.0661 0.5840 0.3768
Ac 0.1015 0.1546 0.7383
Ac 0.1546 0.7383 0.1015
Ac 0.2617 0.8985 0.8454
Ac 0.3768 0.0661 0.5840
Ac 0.4160 0.6232 0.9339
Ac 0.5840 0.3768 0.0661
Ac 0.6232 0.9339 0.4160
Ac 0.7383 0.1015 0.1546
Ac 0.8454 0.2617 0.8985
Ac 0.8985 0.8454 0.2617
Ac 0.9339 0.4160 0.6232
Nd 0.2148 0.3169 0.4669
Nd 0.3169 0.4669 0.2148
Nd 0.4669 0.2148 0.3169
Nd 0.5331 0.7852 0.6831
Nd 0.6831 0.5331 0.7852
Nd 0.7852 0.6831 0.5331
Ho 0.0000 0.0000 0.0000

***

[4]
A plane-wave DFT calculation with PBE was carried out for an optimized crystal structure of Ac2NdHo.

- symmetry = R3m
- formation energy (kJ/mol of atoms) = 5.5
- relative energy among the computed polymorphs (eV per atom) = 0.0192

a = 12.4017 Å, b = 12.4017 Å, c = 12.4017 Å
α = 17.74°, β = 17.74°, γ = 17.74°
Atoms (fractional coordinates):
Ac 0.0000 0.0000 0.0000
Ac 0.1696 0.1696 0.1696
Nd 0.7526 0.7526 0.7526
Ho 0.5841 0.5841 0.5841

***

[5]
A plane-wave DFT calculation with PBE was carried out for an optimized crystal structure of Ac2Nd3Ho7.

- symmetry = P2/m
- formation energy (kJ/mol of atoms) = 11.3

a = 6.4473 Å, b = 3.6117 Å, c = 17.8793 Å
α = 90.00°, β = 96.58°, γ = 90.00°
Atoms (fractional coordinates):
Ac 0.0520 0.0000 0.1756
Ac 0.9480 0.0000 0.8244
Nd 0.4572 0.5000 0.8408
Nd 0.5000 0.0000 0.5000
Nd 0.5428 0.5000 0.1592
Ho 0.0000 0.5000 0.5000
Ho 0.2272 0.0000 0.6613
Ho 0.2581 0.0000 0.0011
Ho 0.2779 0.5000 0.3409
Ho 0.7221 0.5000 0.6591
Ho 0.7419 0.0000 0.9989
Ho 0.7728 0.0000 0.3387

***

[6]
A plane-wave DFT calculation with PBE was carried out for an optimized crystal structure of Ac2NdHo.

- symmetry = Fm-3m
- formation energy (kJ/mol of atoms) = 10.4
- relative energy among the computed polymorphs (eV per atom) = 0.0699

a = 6.0340 Å, b = 6.0340 Å, c = 6.0340 Å
α = 60.00°, β = 60.00°, γ = 60.00°
Atoms (fractional coordinates):
Ac 0.2500 0.2500 0.2500
Ac 0.7500 0.7500 0.7500
Nd 0.0000 0.0000 0.0000
Ho 0.5000 0.5000 0.5000

***

[7]
A plane-wave DFT calculation with PBE was carried out for an optimized crystal structure of Ac5Nd12Ho2.

- symmetry = C2/m
- formation energy (kJ/mol of atoms) = 14.4

a = 12.1329 Å, b = 12.1329 Å, c = 9.0415 Å
α = 109.71°, β = 109.71°, γ = 35.45°
Atoms (fractional coordinates):
Ac 0.0000 0.0000 0.0000
Ac 0.2453 0.2453 0.9852
Ac 0.3491 0.3491 0.4116
Ac 0.6509 0.6509 0.5884
Ac 0.7547 0.7547 0.0148
Nd 0.0537 0.5480 0.7103
Nd 0.1397 0.1397 0.5515
Nd 0.1567 0.6336 0.1244
Nd 0.3664 0.8433 0.8756
Nd 0.4520 0.9463 0.2897
Nd 0.4534 0.4534 0.8083
Nd 0.5466 0.5466 0.1917
Nd 0.5480 0.0537 0.7103
Nd 0.6336 0.1567 0.1244
Nd 0.8433 0.3664 0.8756
Nd 0.8603 0.8603 0.4485
Nd 0.9463 0.4520 0.2897
Ho 0.2582 0.7418 0.5000
Ho 0.7418 0.2582 0.5000

***

[8]
A plane-wave DFT calculation with PBE was carried out for an optimized crystal structure of AcNd4Ho10.

- symmetry = I4/m
- formation energy (kJ/mol of atoms) = 50.8

a = 9.6987 Å, b = 9.6987 Å, c = 9.6987 Å
α = 96.67°, β = 96.67°, γ = 140.16°
Atoms (fractional coordinates):
Ac 0.0000 0.0000 0.0000
Nd 0.3238 0.5679 0.8917
Nd 0.4321 0.3238 0.7560
Nd 0.5679 0.6762 0.2440
Nd 0.6762 0.4321 0.1083
Ho 0.0442 0.8800 0.4256
Ho 0.1200 0.5455 0.1642
Ho 0.2500 0.7500 0.5000
Ho 0.3814 0.9558 0.8358
Ho 0.4545 0.6186 0.5744
Ho 0.5455 0.3814 0.4256
Ho 0.6186 0.0442 0.1642
Ho 0.7500 0.2500 0.5000
Ho 0.8800 0.4545 0.8358
Ho 0.9558 0.1200 0.5744

***

[9]
A plane-wave DFT calculation with PBE was carried out for an optimized crystal structure of AcNd3Ho2.

- symmetry = C2/c
- formation energy (kJ/mol of atoms) = 6.0
- relative energy among the computed polymorphs (eV per atom) = 0.0000

a = 6.8340 Å, b = 6.8340 Å, c = 11.5940 Å
α = 115.05°, β = 115.05°, γ = 63.56°
Atoms (fractional coordinates):
Ac 0.0037 0.9963 0.7500
Ac 0.9963 0.0037 0.2500
Nd 0.0856 0.5786 0.9158
Nd 0.4214 0.9144 0.5842
Nd 0.4981 0.5019 0.7500
Nd 0.5019 0.4981 0.2500
Nd 0.5786 0.0856 0.4158
Nd 0.9144 0.4214 0.0842
Ho 0.0842 0.5834 0.4185
Ho 0.4166 0.9158 0.0815
Ho 0.5834 0.0842 0.9185
Ho 0.9158 0.4166 0.5815

***

[10]
A plane-wave DFT calculation with PBE was carried out for an optimized crystal structure of AcNd5Ho2.

- symmetry = Pbam
- formation energy (kJ/mol of atoms) = 2.2

a = 7.3605 Å, b = 14.7252 Å, c = 5.1852 Å
α = 90.00°, β = 90.00°, γ = 90.00°
Atoms (fractional coordinates):
Ac 0.0000 0.0000 0.0000
Ac 0.5000 0.5000 0.0000
Nd 0.0000 0.5000 0.0000
Nd 0.0019 0.2523 0.0000
Nd 0.2460 0.6270 0.5000
Nd 0.2540 0.1270 0.5000
Nd 0.4981 0.7523 0.0000
Nd 0.5000 0.0000 0.0000
Nd 0.5019 0.2477 0.0000
Nd 0.7460 0.8730 0.5000
Nd 0.7540 0.3730 0.5000
Nd 0.9981 0.7477 0.0000
Ho 0.2491 0.3728 0.5000
Ho 0.2509 0.8728 0.5000
Ho 0.7491 0.1272 0.5000
Ho 0.7509 0.6272 0.5000

***

[11]
A plane-wave DFT calculation with PBE was carried out for an optimized crystal structure of Ac2NdHo.

- symmetry = P4/mmm
- formation energy (kJ/mol of atoms) = 3.7
- relative energy among the computed polymorphs (eV per atom) = 0.0000

a = 5.4279 Å, b = 5.4279 Å, c = 5.2249 Å
α = 90.00°, β = 90.00°, γ = 90.00°
Atoms (fractional coordinates):
Ac 0.0000 0.5000 0.0000
Ac 0.5000 0.0000 0.0000
Nd 0.0000 0.0000 0.5000
Ho 0.5000 0.5000 0.5000

***

[12]
A plane-wave DFT calculation with PBE was carried out for an optimized crystal structure of Ac3Nd2Ho6.

- symmetry = C2/m
- formation energy (kJ/mol of atoms) = 22.3

a = 6.3852 Å, b = 6.3852 Å, c = 11.7828 Å
α = 95.21°, β = 95.21°, γ = 120.07°
Atoms (fractional coordinates):
Ac 0.0000 0.0000 0.0000
Ac 0.3351 0.6649 0.0000
Ac 0.6649 0.3351 0.0000
Nd 0.1664 0.8336 0.5000
Nd 0.8336 0.1664 0.5000
Ho 0.0875 0.4191 0.2575
Ho 0.2496 0.2496 0.7430
Ho 0.4191 0.0875 0.2575
Ho 0.5809 0.9125 0.7425
Ho 0.7504 0.7504 0.2570
Ho 0.9125 0.5809 0.7425

***

[13]
A plane-wave DFT calculation with PBE was carried out for an optimized crystal structure of Ac5Nd2Ho4.

- symmetry = C2/m
- formation energy (kJ/mol of atoms) = 12.7

a = 12.8034 Å, b = 12.8034 Å, c = 9.0222 Å
α = 95.83°, β = 95.83°, γ = 16.88°
Atoms (fractional coordinates):
Ac 0.0000 0.0000 0.0000
Ac 0.3181 0.3181 0.5236
Ac 0.3659 0.3659 0.9538
Ac 0.6341 0.6341 0.0462
Ac 0.6819 0.6819 0.4764
Nd 0.0850 0.0850 0.6873
Nd 0.9150 0.9150 0.3127
Ho 0.2259 0.2259 0.8298
Ho 0.4630 0.4630 0.6516
Ho 0.5370 0.5370 0.3484
Ho 0.7741 0.7741 0.1702

***

[14]
A plane-wave DFT calculation with PBE was carried out for an optimized crystal structure of Ac4Nd3Ho.

- symmetry = Pmn2_1
- formation energy (kJ/mol of atoms) = 4.0

a = 10.9162 Å, b = 7.5829 Å, c = 7.5840 Å
α = 90.00°, β = 90.00°, γ = 90.00°
Atoms (fractional coordinates):
Ac 0.0000 0.0010 0.0000
Ac 0.0000 0.4987 0.4974
Ac 0.2483 0.7489 0.7486
Ac 0.2517 0.2511 0.2486
Ac 0.5000 0.5013 0.9974
Ac 0.5000 0.9990 0.5000
Ac 0.7483 0.2511 0.2486
Ac 0.7517 0.7489 0.7486
Nd 0.0000 0.0003 0.4983
Nd 0.2498 0.2523 0.7486
Nd 0.2502 0.7477 0.2486
Nd 0.5000 0.9997 0.9983
Nd 0.7502 0.2523 0.7486
Nd 0.7498 0.7477 0.2486
Ho 0.0000 0.4999 0.9989
Ho 0.5000 0.5001 0.4989

***

[15]
A plane-wave DFT calculation with PBE was carried out for an optimized crystal structure of Ac7Nd3Ho.

- symmetry = C2/m
- formation energy (kJ/mol of atoms) = 25.7

a = 8.3122 Å, b = 8.3122 Å, c = 6.9361 Å
α = 94.68°, β = 94.68°, γ = 84.59°
Atoms (fractional coordinates):
Ac 0.0000 0.0000 0.0000
Ac 0.0793 0.4203 0.2604
Ac 0.2618 0.2618 0.7722
Ac 0.4203 0.0793 0.2604
Ac 0.5797 0.9207 0.7396
Ac 0.7382 0.7382 0.2278
Ac 0.9207 0.5797 0.7396
Nd 0.3366 0.6634 0.0000
Nd 0.5000 0.5000 0.5000
Nd 0.6634 0.3366 0.0000
Ho 0.0000 0.0000 0.5000

***

[16]
A plane-wave DFT calculation with PBE was carried out for an optimized crystal structure of Ac2Nd5Ho3.

- symmetry = C2/c
- formation energy (kJ/mol of atoms) = 18.2

a = 9.0892 Å, b = 9.0892 Å, c = 10.2561 Å
α = 100.81°, β = 100.81°, γ = 111.41°
Atoms (fractional coordinates):
Ac 0.1380 0.3606 0.0020
Ac 0.3606 0.1380 0.5020
Ac 0.6394 0.8620 0.4980
Ac 0.8620 0.6394 0.9980
Nd 0.0278 0.2802 0.5968
Nd 0.0350 0.9650 0.7500
Nd 0.2511 0.7489 0.7500
Nd 0.2802 0.0278 0.0968
Nd 0.4709 0.5291 0.7500
Nd 0.5291 0.4709 0.2500
Nd 0.7198 0.9722 0.9032
Nd 0.7489 0.2511 0.2500
Nd 0.9650 0.0350 0.2500
Nd 0.9722 0.7198 0.4032
Ho 0.2214 0.4656 0.4078
Ho 0.2562 0.7438 0.2500
Ho 0.4656 0.2214 0.9078
Ho 0.5344 0.7786 0.0922
Ho 0.7438 0.2562 0.7500
Ho 0.7786 0.5344 0.5922

***

[17]
A plane-wave DFT calculation with PBE was carried out for an optimized crystal structure of Ac2Nd7Ho2.

- symmetry = Cmmm
- formation energy (kJ/mol of atoms) = 32.8
- relative energy among the computed polymorphs (eV per atom) = 0.1870

a = 7.1524 Å, b = 7.1524 Å, c = 9.6647 Å
α = 90.00°, β = 90.00°, γ = 121.83°
Atoms (fractional coordinates):
Ac 0.2483 0.2483 0.0000
Ac 0.7517 0.7517 0.0000
Nd 0.0000 0.0000 0.5000
Nd 0.0000 0.5000 0.1904
Nd 0.0000 0.5000 0.8096
Nd 0.5000 0.0000 0.1904
Nd 0.5000 0.0000 0.8096
Nd 0.5000 0.5000 0.3265
Nd 0.5000 0.5000 0.6735
Ho 0.2658 0.7342 0.5000
Ho 0.7342 0.2658 0.5000

***

[18]
A plane-wave DFT calculation with PBE was carried out for an optimized crystal structure of Ac2Nd8Ho3.

- symmetry = C2/m
- formation energy (kJ/mol of atoms) = 17.9
- relative energy among the computed polymorphs (eV per atom) = 0.0000

a = 9.0261 Å, b = 9.0261 Å, c = 6.3058 Å
α = 107.23°, β = 107.23°, γ = 83.80°
Atoms (fractional coordinates):
Ac 0.1982 0.1982 0.3397
Ac 0.8018 0.8018 0.6603
Nd 0.0777 0.0777 0.7592
Nd 0.0893 0.5879 0.3362
Nd 0.3586 0.3586 0.9353
Nd 0.4121 0.9107 0.6638
Nd 0.5879 0.0893 0.3362
Nd 0.6414 0.6414 0.0647
Nd 0.9107 0.4121 0.6638
Nd 0.9223 0.9223 0.2408
Ho 0.2421 0.7579 0.0000
Ho 0.5000 0.5000 0.5000
Ho 0.7579 0.2421 0.0000

***

[19]
A plane-wave DFT calculation with PBE was carried out for an optimized crystal structure of AcNd2Ho7.

- symmetry = Cmmm
- formation energy (kJ/mol of atoms) = 58.6
- relative energy among the computed polymorphs (eV per atom) = 0.0000

a = 9.6912 Å, b = 9.6912 Å, c = 5.5728 Å
α = 90.00°, β = 90.00°, γ = 129.56°
Atoms (fractional coordinates):
Ac 0.0000 0.0000 0.0000
Nd 0.2656 0.7344 0.5000
Nd 0.7344 0.2656 0.5000
Ho 0.0954 0.2944 0.5000
Ho 0.2944 0.0954 0.5000
Ho 0.4023 0.5977 0.0000
Ho 0.5000 0.5000 0.5000
Ho 0.5977 0.4023 0.0000
Ho 0.7056 0.9046 0.5000
Ho 0.9046 0.7056 0.5000

***

[20]
A plane-wave DFT calculation with PBE was carried out for an optimized crystal structure of AcNdHo.

- symmetry = P3m1
- formation energy (kJ/mol of atoms) = 11.8
- relative energy among the computed polymorphs (eV per atom) = 0.0717

a = 5.9271 Å, b = 5.9271 Å, c = 3.6179 Å
α = 90.00°, β = 90.00°, γ = 120.00°
Atoms (fractional coordinates):
Ac 0.0000 0.0000 0.0000
Nd 0.6667 0.3333 0.4991
Ho 0.3333 0.6667 0.9973

***

no.,Fermi-level density of states (states/eV/f.u.),DFT total energy (eV/f.u.)
1,7.184,-96.697
2,12.870,-55.152
3,35.449,-81.733
4,6.273,-17.334
5,18.339,-53.162
6,7.755,-17.131
7,29.836,-84.074
8,28.138,-61.063
9,8.737,-27.195
10,11.110,-36.921
11,5.687,-17.410
12,14.659,-46.790
13,18.090,-46.944
14,13.481,-34.982
15,17.498,-44.705
16,15.920,-43.904
17,20.380,-47.004
18,20.445,-57.682
19,13.113,-39.610
20,4.318,-13.086